(one)
An optimized crystal structure of U2PbS6, computed with PBE.

Structure (POSCAR):
```
U2PbS6
1.0
6.363 0.000 0.000
0.000 6.363 0.000
0.000 0.000 12.328
U Pb S
4 2 12
Direct
0.500 0.500 0.332
0.500 0.500 0.668
0.000 0.000 0.168
0.000 0.000 0.832
0.500 0.500 0.000
0.000 0.000 0.500
0.706 0.706 0.184
0.706 0.706 0.816
0.678 0.678 0.500
0.822 0.178 0.000
0.794 0.206 0.316
0.794 0.206 0.684
0.206 0.794 0.316
0.206 0.794 0.684
0.178 0.822 0.000
0.322 0.322 0.500
0.294 0.294 0.184
0.294 0.294 0.816
```

---

(two)
An optimized crystal structure of U2PbS6, computed with PBE.

Structure (POSCAR):
```
U2PbS6
1.0
5.488 0.384 -0.508
-2.003 5.124 -0.508
0.007 0.011 7.184
U Pb S
2 1 6
Direct
0.243 0.257 0.500
0.757 0.743 0.500
0.500 0.000 0.000
0.976 0.116 0.782
0.384 0.524 0.218
0.024 0.884 0.218
0.616 0.476 0.782
0.271 0.771 0.608
0.729 0.229 0.392
```

---

Result of the stability comparison: (one) is the most stable of them.

---

(one)
An optimized crystal structure of U4PbS8, computed with PBE.

Structure (POSCAR):
```
U4PbS8
1.0
-2.392 5.492 5.544
-0.882 -2.202 7.809
5.273 2.689 5.619
U Pb S
4 1 8
Direct
0.884 0.372 0.372
0.372 0.884 0.372
0.372 0.372 0.884
0.372 0.372 0.372
0.750 0.750 0.750
0.586 0.138 0.138
0.138 0.586 0.138
0.138 0.138 0.586
0.138 0.138 0.138
0.170 0.610 0.610
0.610 0.170 0.610
0.610 0.610 0.170
0.610 0.610 0.610
```

---

(two)
An optimized crystal structure of U4PbS8, computed with PBE.

Structure (POSCAR):
```
U4PbS8
1.0
7.841 -0.013 -1.874
-4.548 6.436 -1.699
-0.261 -0.443 8.040
U Pb S
4 1 8
Direct
0.247 0.247 0.000
0.753 0.753 0.000
0.264 0.765 0.029
0.736 0.235 0.971
0.000 0.500 0.500
0.702 0.034 0.207
0.174 0.506 0.207
0.688 0.507 0.195
0.185 0.026 0.210
0.815 0.974 0.790
0.312 0.493 0.805
0.826 0.494 0.793
0.298 0.966 0.793
```

---

Result of the stability comparison: (one) is the most stable of them.

---

(one)
An optimized crystal structure of U2Pb2S7, computed with PBE.

Structure (POSCAR):
```
U2Pb2S7
1.0
4.020 0.000 0.000
2.010 8.540 0.117
2.010 4.152 7.463
U Pb S
2 2 7
Direct
0.000 0.790 0.210
0.500 0.334 0.666
0.743 0.827 0.688
0.257 0.312 0.173
0.831 0.049 0.289
0.884 0.414 0.818
0.500 0.011 0.989
0.596 0.516 0.293
0.404 0.707 0.484
0.169 0.711 0.951
0.116 0.182 0.586
```

---

(two)
An optimized crystal structure of U2Pb2S7, computed with PBE.

Structure (POSCAR):
```
U2Pb2S7
1.0
3.724 0.000 0.799
0.978 7.613 4.520
0.037 0.101 8.907
U Pb S
2 2 7
Direct
0.740 0.848 0.672
0.260 0.328 0.152
0.000 0.806 0.194
0.500 0.328 0.672
0.816 0.077 0.292
0.844 0.426 0.886
0.500 0.024 0.976
0.636 0.462 0.266
0.364 0.734 0.538
0.184 0.708 0.923
0.156 0.114 0.574
```

---

Result of the stability comparison: (two) is the most stable of them.

---

(one)
An optimized crystal structure of PbWS3, computed with PBE.

Structure (POSCAR):
```
PbWS3
1.0
5.056 0.000 0.000
0.000 5.056 0.000
0.000 0.000 5.056
Pb S W
1 3 1
Direct
0.000 0.000 0.000
0.000 0.500 0.000
0.000 0.000 0.500
0.500 0.000 0.000
0.500 0.500 0.500
```

---

(two)
An optimized crystal structure of PbWS3, computed with PBE.

Structure (POSCAR):
```
PbWS3
1.0
4.750 0.000 0.000
0.000 4.750 0.000
0.000 0.000 4.750
Pb S W
1 3 1
Direct
0.500 0.500 0.500
0.000 0.500 0.000
0.000 0.000 0.500
0.500 0.000 0.000
0.000 0.000 0.000
```

---

Result of the stability comparison: (two) is the most stable of them.

---

(one)
An optimized crystal structure of YPb3S, computed with PBE.

Structure (POSCAR):
```
YPb3S
1.0
5.936 0.000 0.000
0.000 5.936 0.000
0.000 0.000 5.936
Pb Y S
3 1 1
Direct
0.000 0.500 0.000
0.000 0.000 0.500
0.500 0.000 0.000
0.000 0.000 0.000
0.500 0.500 0.500
```

---

(two)
An optimized crystal structure of YPb3S, computed with PBE.

Structure (POSCAR):
```
YPb3S
1.0
5.459 0.000 0.000
0.000 5.459 0.000
0.000 0.000 5.459
Pb Y S
3 1 1
Direct
0.000 0.500 0.000
0.000 0.000 0.500
0.500 0.000 0.000
0.500 0.500 0.500
0.000 0.000 0.000
```

---

Result of the stability comparison: (two) is the most stable of them.

---

(one)
An optimized crystal structure of YPbS3, computed with PBE.

Structure (POSCAR):
```
YPbS3
1.0
-1.656 -2.622 -4.039
1.721 -4.311 2.093
-4.497 -0.684 2.288
Pb Y S
1 1 3
Direct
0.000 0.000 0.000
0.500 0.500 0.500
0.000 0.500 0.000
0.000 0.000 0.500
0.500 0.000 0.000
```

---

(two)
An optimized crystal structure of YPbS3, computed with PBE.

Structure (POSCAR):
```
YPbS3
1.0
-2.073 -3.010 1.868
7.870 -2.940 3.997
-1.686 4.406 5.228
Y Pb S
2 2 6
Direct
0.250 0.863 0.343
0.750 0.137 0.657
0.250 0.439 0.227
0.750 0.561 0.773
0.750 0.658 0.404
0.250 0.342 0.596
0.750 0.322 0.994
0.250 0.959 0.712
0.250 0.678 0.006
0.750 0.041 0.288
```

---

Result of the stability comparison: (two) is the most stable of them.

---

(one)
An optimized crystal structure of YPb2S4, computed with PBE.

Structure (POSCAR):
```
YPb2S4
1.0
-1.806 -2.790 -2.044
6.300 0.981 -3.181
5.440 -9.310 7.904
Y Pb S
2 4 8
Direct
0.615 0.231 0.750
0.385 0.769 0.250
0.132 0.263 0.431
0.868 0.737 0.931
0.132 0.263 0.069
0.868 0.737 0.569
0.789 0.579 0.131
0.789 0.579 0.369
0.211 0.421 0.869
0.211 0.421 0.631
0.975 0.951 0.750
0.025 0.049 0.250
0.500 0.000 0.000
0.500 0.000 0.500
```

---

(two)
An optimized crystal structure of YPb2S4, computed with PBE.

Structure (POSCAR):
```
YPb2S4
1.0
5.300 0.000 0.000
0.000 5.300 0.000
2.650 2.650 7.154
Pb Y S
2 1 4
Direct
0.372 0.372 0.256
0.628 0.628 0.744
0.000 0.000 0.000
0.187 0.187 0.627
0.813 0.813 0.373
0.000 0.500 0.000
0.500 0.000 0.000
```

---

Result of the stability comparison: (one) is the most stable of them.

---

(one)
An optimized crystal structure of Y3PbS, computed with PBE.

Structure (POSCAR):
```
Y3PbS
1.0
-5.005 -1.366 0.049
0.232 -1.035 -5.079
1.347 -4.897 1.060
Pb Y S
1 3 1
Direct
0.500 0.500 0.500
0.000 0.500 0.000
0.000 0.000 0.500
0.500 0.000 0.000
0.000 0.000 0.000
```

---

(two)
An optimized crystal structure of Y3PbS, computed with PBE.

Structure (POSCAR):
```
Y3PbS
1.0
-0.974 -4.291 4.928
3.407 -6.782 -5.233
6.467 5.606 6.160
Y Pb S
12 4 4
Direct
0.094 0.709 0.660
0.906 0.291 0.340
0.594 0.791 0.840
0.406 0.209 0.160
0.579 0.658 0.462
0.421 0.342 0.538
0.079 0.842 0.038
0.921 0.158 0.962
0.151 0.588 0.203
0.849 0.412 0.797
0.651 0.912 0.297
0.349 0.088 0.703
0.826 0.992 0.629
0.174 0.008 0.371
0.326 0.508 0.871
0.674 0.492 0.129
0.237 0.481 0.396
0.763 0.519 0.604
0.737 0.019 0.104
0.263 0.981 0.896
```

---

Result of the stability comparison: (two) is the most stable of them.

---

(one)
An optimized crystal structure of ZnPbS3, computed with PBE.

Structure (POSCAR):
```
ZnPbS3
1.0
-2.813 3.025 -2.330
-3.810 -2.036 1.957
0.248 3.032 3.638
Pb Zn S
1 1 3
Direct
0.500 0.500 0.500
0.000 0.000 0.000
0.000 0.500 0.000
0.000 0.000 0.500
0.500 0.000 0.000
```

---

(two)
An optimized crystal structure of ZnPbS3, computed with PBE.

Structure (POSCAR):
```
ZnPbS3
1.0
5.175 0.000 0.000
0.000 5.175 0.000
0.000 0.000 5.175
Pb Zn S
1 1 3
Direct
0.000 0.000 0.000
0.500 0.500 0.500
0.000 0.500 0.000
0.000 0.000 0.500
0.500 0.000 0.000
```

---

Result of the stability comparison: (one) is the most stable of them.

---

(one)
An optimized crystal structure of ZrPbS3, computed with PBE.

Structure (POSCAR):
```
ZrPbS3
1.0
5.002 0.000 0.000
0.000 5.002 0.000
0.000 0.000 5.002
Pb S Zr
1 3 1
Direct
0.500 0.500 0.500
0.000 0.500 0.000
0.000 0.000 0.500
0.500 0.000 0.000
0.000 0.000 0.000
```

---

(two)
An optimized crystal structure of ZrPbS3, computed with PBE.

Structure (POSCAR):
```
ZrPbS3
1.0
5.040 0.000 0.000
0.000 5.040 0.000
0.000 0.000 5.040
Pb S Zr
1 3 1
Direct
0.000 0.000 0.000
0.000 0.500 0.000
0.000 0.000 0.500
0.500 0.000 0.000
0.500 0.500 0.500
```

---

(three)
An optimized crystal structure of ZrPbS3, computed with PBE.

Structure (POSCAR):
```
ZrPbS3
1.0
-3.434 -0.928 -1.370
-1.899 -3.394 7.056
-2.690 7.655 1.556
Zr Pb S
2 2 6
Direct
0.250 0.837 0.355
0.750 0.163 0.645
0.250 0.383 0.190
0.750 0.617 0.810
0.750 0.640 0.407
0.250 0.360 0.593
0.750 0.299 0.942
0.250 0.943 0.673
0.250 0.701 0.058
0.750 0.057 0.327
```

---

Result of the stability comparison: (three) is the most stable of them.

---

(one)
An optimized crystal structure of ZrPb2S4, computed with PBE.

Structure (POSCAR):
```
ZrPb2S4
1.0
3.646 0.000 0.000
-1.823 7.183 0.000
0.000 0.000 13.535
Zr Pb S
2 4 8
Direct
0.626 0.251 0.750
0.374 0.749 0.250
0.125 0.251 0.426
0.875 0.749 0.926
0.125 0.251 0.074
0.875 0.749 0.574
0.800 0.600 0.132
0.800 0.600 0.368
0.200 0.400 0.868
0.200 0.400 0.632
0.996 0.992 0.750
0.004 0.008 0.250
0.500 0.000 0.000
0.500 0.000 0.500
```

---

(two)
An optimized crystal structure of ZrPb2S4, computed with PBE.

Structure (POSCAR):
```
ZrPb2S4
1.0
-1.302 -2.356 -2.820
2.933 -5.749 3.449
-10.804 -1.678 6.391
Zr Pb S
2 4 8
Direct
0.000 0.000 0.500
0.000 0.500 0.000
0.500 0.882 0.833
0.500 0.118 0.167
0.500 0.382 0.667
0.500 0.618 0.333
0.000 0.609 0.806
0.000 0.391 0.194
0.000 0.109 0.694
0.000 0.891 0.306
0.500 0.772 0.542
0.500 0.228 0.458
0.500 0.728 0.042
0.500 0.272 0.958
```

---

Result of the stability comparison: (two) is the most stable of them.